DyYAlCo2: relaxed, GGA-PBE.

Properties
Energy relative to the lowest polymorph listed for this composition = 0 meV/atom
Space group = Imm2 (44)
Crystal system = orthorhombic

a b c (Å): 5.365 5.365 5.365
angles (deg): 136.00 119.03 78.19
Atoms (fractional coordinates):
Co1 0.278 0.500 0.778
Co2 0.723 0.500 0.222
Y1 0.296 0.796 0.500
Al1 0.000 0.000 0.000
Dy1 0.704 0.204 0.500